[1]
Density functional theory data (PBE) for LaTaOs2 after structural relaxation.

Results
energy relative to the elements: 47 kJ/mol of atoms
M_tot: 0.00 μB/atom

Cell: 5.5271 5.5271 5.5271 Å, 146.62 123.77 66.99°
Last column: nearest neighbours and their distance in Å.
Element x y z (fractional)
1 La 0.2500 0.7500 0.5000  4 Os 2.96, 4 Ta 3.05, 2 La 3.17
2 Os 0.9785 0.9785 0.0000  2 Ta 2.64
3 Os 0.5215 0.5215 0.0000  2 Ta 2.64
4 Ta 0.7500 0.2500 0.5000  4 Os 2.64


[2]
Density functional theory data (PBE) for Pm2ScTe2S2 after structural relaxation.

Results
M_tot: 0.00 μB/atom
formation energy without anion corrections: -1060.4 kJ/mol of formula units

Cell: 4.8008 4.8008 8.7349 Å, 105.95 105.95 90.00°
Last column: nearest neighbours and their distance in Å.
Element x y z (fractional)
1 Pm 0.3816 0.3816 0.7632  4 S 3.06, 1 Te 3.20
2 Pm 0.6184 0.6184 0.2368  4 S 3.06, 1 Te 3.20
3 Sc 0.0000 0.0000 0.0000  4 S 2.40
4 Te 0.1825 0.1825 0.3650  1 Sc 2.94, 1 Pm 3.20
5 Te 0.8175 0.8175 0.6350  1 Sc 2.94, 1 Pm 3.20
6 S 0.0000 0.5000 0.0000  2 Sc 2.40
7 S 0.5000 0.0000 0.0000  2 Sc 2.40


[3]
Density functional theory data (PBE) for Fe2SnHgGe after structural relaxation.

Results
energy relative to the elements: 74 kJ/mol of atoms
M_tot: 1.04 μB/atom

Cell: 4.5643 5.1162 4.5643 Å, 90.00 90.00 90.00°
Last column: nearest neighbours and their distance in Å.
Element x y z (fractional)
1 Fe 0.0000 0.0000 0.5000  2 Ge 2.28
2 Fe 0.5000 0.0000 0.0000  2 Ge 2.28
3 Ge 0.0000 0.0000 0.0000  4 Fe 2.28
4 Hg 0.0000 0.5000 0.0000  2 Ge 2.56
5 Sn 0.5000 0.5000 0.5000  4 Hg 3.23, 8 Fe 3.43


[4]
Density functional theory data (PBE) for CsTaSe3 after structural relaxation.

Results
M_tot: 0.00 μB/atom
energy above the most stable polymorph in this dataset: 3091.5 meV/atom
formation energy without anion corrections: 1006.6 kJ/mol of formula units

Cell: 5.5847 5.5847 5.5847 Å, 90.00 90.00 90.00°
Last column: nearest neighbours and their distance in Å.
Element x y z (fractional)
1 Cs 0.0000 0.0000 0.0000  6 Se 2.79
2 Se 0.0000 0.5000 0.0000  2 Cs 2.79
3 Se 0.0000 0.0000 0.5000  2 Cs 2.79
4 Se 0.5000 0.0000 0.0000  2 Cs 2.79
5 Ta 0.5000 0.5000 0.5000  12 Se 3.95